This record from Alexandria describes an optimized crystal structure of KInFe. The functional is PBE.

Properties
* electronic total energy: -3.22 eV/atom
* crystal system: cubic
* calculated volume: 29.7 Å³/atom
* total magnetization: 10.9 μB/cell
* formation enthalpy at 0 K: 0.879 eV per atom
* E above lowest polymorph: 395.9 meV/atom

Unit cell a=7.0914 b=7.0914 c=7.0914 alpha=90.00 beta=90.00 gamma=90.00
With the nearest neighbours (Å) after each atom.
Space group F-43m (No. 216)
Symmetry-distinct sites (fractional):
K: 0.0000 0.0000 0.0000 [4 per cell]  4 Fe 3.07
In: 0.0000 0.0000 0.5000 [4 per cell]  4 Fe 3.07
Fe: 0.2500 0.2500 0.7500 [4 per cell]  4 In 3.07, 4 K 3.07


This record from Alexandria describes an optimized crystal structure of K2InFe. The functional is PBE.

Properties
* electronic total energy: -2.54 eV/atom
* crystal system: trigonal
* calculated volume: 32.3 Å³/atom
* total magnetization: 9.4 μB/cell
* formation enthalpy at 0 K: 0.808 eV per atom

Unit cell a=3.5662 b=3.5662 c=35.2076 alpha=90.00 beta=90.00 gamma=120.00
With the nearest neighbours (Å) after each atom.
Space group R-3m (No. 166, hexagonal axes)
Symmetry-distinct sites (fractional):
K: 0.0000 0.0000 0.2453 [6 per cell]  3 Fe 3.45, 6 K 3.57, 3 In 3.72
In: 0.0000 0.0000 0.0000 [3 per cell]  6 In 3.57, 6 K 3.72
Fe: 0.0000 0.0000 0.5000 [3 per cell]  6 K 3.45, 6 Fe 3.57


This record from Alexandria describes an optimized crystal structure of KIn2Fe. The functional is PBE.

Properties
* electronic total energy: -3.18 eV/atom
* crystal system: orthorhombic
* calculated volume: 24.8 Å³/atom
* total magnetization: 5.6 μB/cell
* formation enthalpy at 0 K: 0.581 eV per atom
* E above lowest polymorph: 358.8 meV/atom

Unit cell a=6.5490 b=10.0151 c=3.0205 alpha=90.00 beta=90.00 gamma=90.00
With the nearest neighbours (Å) after each atom.
Space group Cmmm (No. 65)
Symmetry-distinct sites (fractional):
K: 0.0000 0.0000 0.0000 [2 per cell]  2 K 3.02, 2 Fe 3.27, 8 In 3.35
In: 0.2500 0.2500 0.5000 [4 per cell]  4 In 3.02-3.27, 4 Fe 3.35, 4 K 3.35
Fe: 0.0000 0.5000 0.0000 [2 per cell]  2 Fe 3.02, 2 K 3.27, 8 In 3.35


This record from Alexandria describes an optimized crystal structure of K2InFe. The functional is PBE.

Properties
* electronic total energy: -2.62 eV/atom
* crystal system: orthorhombic
* calculated volume: 32.0 Å³/atom
* total magnetization: 6.0 μB/cell
* formation enthalpy at 0 K: 0.728 eV per atom

Unit cell a=6.2147 b=11.1484 c=3.6922 alpha=90.00 beta=90.00 gamma=90.00
With the nearest neighbours (Å) after each atom.
Space group Cmmm (No. 65)
Symmetry-distinct sites (fractional):
K: 0.2500 0.2500 0.0000 [4 per cell]  2 K 3.11
In: 0.0000 0.0000 0.5000 [2 per cell]  2 Fe 3.11
Fe: 0.0000 0.5000 0.5000 [2 per cell]  2 In 3.11


This record from Alexandria describes an optimized crystal structure of KIn2Fe. The functional is PBE.

Properties
* electronic total energy: -3.54 eV/atom
* crystal system: monoclinic
* calculated volume: 24.7 Å³/atom
* total magnetization: 2.5 μB/cell
* formation enthalpy at 0 K: 0.223 eV per atom
* E above lowest polymorph: 0.0 meV/atom

Unit cell a=3.0779 b=3.7081 c=8.6587 alpha=90.00 beta=90.08 gamma=90.00
With the nearest neighbours (Å) after each atom.
Space group P2/m (No. 10)
Symmetry-distinct sites (fractional):
K: 0.0000 0.0000 0.0000 [1 per cell]  2 K 3.08
In: 0.4999 0.5000 0.3206 [2 per cell]  4 Fe 2.87, 3 In 3.08-3.11
Fe: 0.0000 0.0000 0.5000 [1 per cell]  8 In 2.87, 2 Fe 3.08


This record from Alexandria describes an optimized crystal structure of KIn2Fe. The functional is PBE.

Properties
* electronic total energy: -3.43 eV/atom
* crystal system: tetragonal
* calculated volume: 28.8 Å³/atom
* total magnetization: 2.3 μB/cell
* formation enthalpy at 0 K: 0.329 eV per atom
* E above lowest polymorph: 106.6 meV/atom

Unit cell a=3.6977 b=3.6977 c=8.4308 alpha=90.00 beta=90.00 gamma=90.00
With the nearest neighbours (Å) after each atom.
Space group P4mm (No. 99)
Symmetry-distinct sites (fractional):
K: 0.0000 0.0000 0.0000 [1 per cell]  5 In 3.43-3.76, 4 K 3.70
In: 0.0000 0.0000 0.4069 [1 per cell]  4 Fe 2.64
In: 0.5000 0.5000 0.6797 [1 per cell]  1 Fe 2.65
Fe: 0.5000 0.5000 0.3658 [1 per cell]  5 In 2.64-2.65


This record from Alexandria describes an optimized crystal structure of K4InFe. The functional is PBE.

Properties
* electronic total energy: -1.79 eV/atom
* crystal system: cubic
* calculated volume: 44.4 Å³/atom
* total magnetization: 12.2 μB/cell
* formation enthalpy at 0 K: 0.813 eV per atom

Unit cell a=10.2128 b=10.2128 c=10.2128 alpha=90.00 beta=90.00 gamma=90.00
With the nearest neighbours (Å) after each atom.
Space group F-43m (No. 216)
Symmetry-distinct sites (fractional):
K: 0.1248 0.1248 0.1248 [16 per cell]  6 K 3.60-3.62
In: 0.0000 0.0000 0.5000 [4 per cell]  12 K 4.23, 4 Fe 4.42
Fe: 0.2500 0.2500 0.7500 [4 per cell]  12 K 4.23, 4 In 4.42


This record from Alexandria describes an optimized crystal structure of K2In2Fe. The functional is PBE.

Properties
* electronic total energy: -2.58 eV/atom
* crystal system: tetragonal
* calculated volume: 38.2 Å³/atom
* total magnetization: 6.1 μB/cell
* formation enthalpy at 0 K: 0.652 eV per atom
* E above lowest polymorph: 0.0 meV/atom

Unit cell a=4.2384 b=4.2384 c=21.2592 alpha=90.00 beta=90.00 gamma=90.00
With the nearest neighbours (Å) after each atom.
Space group I4/mmm (No. 139)
Symmetry-distinct sites (fractional):
K: 0.0000 0.0000 0.0985 [4 per cell]  4 Fe 3.66, 4 In 3.86
In: 0.0000 0.5000 0.2500 [4 per cell]  4 In 3.00
Fe: 0.0000 0.0000 0.5000 [2 per cell]  8 K 3.66


This record from Alexandria describes an optimized crystal structure of KIn2Fe. The functional is PBE.

Properties
* electronic total energy: -3.47 eV/atom
* crystal system: monoclinic
* calculated volume: 27.9 Å³/atom
* total magnetization: 2.3 μB/cell
* formation enthalpy at 0 K: 0.285 eV per atom
* E above lowest polymorph: 62.8 meV/atom

Unit cell a=3.1109 b=4.4463 c=8.0680 alpha=90.00 beta=90.10 gamma=90.00
With the nearest neighbours (Å) after each atom.
Space group Pm (No. 6)
Symmetry-distinct sites (fractional):
K: 0.0000 0.0000 0.0000 [1 per cell]  2 K 3.11
In: 0.4986 0.0000 0.4081 [1 per cell]  4 Fe 2.71
In: 0.4999 0.5000 0.6894 [1 per cell]  2 Fe 2.81-2.82, 2 In 3.11
Fe: 0.9983 0.5000 0.3985 [1 per cell]  6 In 2.71-2.82


This record from Alexandria describes an optimized crystal structure of K2InFe. The functional is PBE.

Properties
* electronic total energy: -2.62 eV/atom
* crystal system: orthorhombic
* calculated volume: 31.6 Å³/atom
* total magnetization: 2.9 μB/cell
* formation enthalpy at 0 K: 0.727 eV per atom

Unit cell a=3.5432 b=5.6540 c=6.3032 alpha=90.00 beta=90.00 gamma=90.00
With the nearest neighbours (Å) after each atom.
Space group Pmmm (No. 47)
Symmetry-distinct sites (fractional):
K: 0.0000 0.0000 0.2450 [2 per cell]  2 K 3.09-3.21
In: 0.5000 0.5000 0.5000 [1 per cell]  2 Fe 3.15
Fe: 0.5000 0.5000 0.0000 [1 per cell]  2 In 3.15


This record from Alexandria describes an optimized crystal structure of KIn2Fe. The functional is PBE.

Properties
* electronic total energy: -3.50 eV/atom
* crystal system: orthorhombic
* calculated volume: 27.5 Å³/atom
* total magnetization: 4.0 μB/cell
* formation enthalpy at 0 K: 0.262 eV per atom
* E above lowest polymorph: 39.1 meV/atom

Unit cell a=3.0349 b=4.4637 c=16.2594 alpha=90.00 beta=90.00 gamma=90.00
With the nearest neighbours (Å) after each atom.
Space group Imm2 (No. 44)
Symmetry-distinct sites (fractional):
K: 0.0000 0.0000 0.0000 [2 per cell]  2 K 3.03
In: 0.0000 0.0000 0.3407 [2 per cell]  2 Fe 2.75, 2 In 3.03
In: 0.0000 0.5000 0.1855 [2 per cell]  4 Fe 2.71
Fe: 0.0000 0.5000 0.6998 [2 per cell]  6 In 2.71-2.75


This record from Alexandria describes an optimized crystal structure of KIn2Fe. The functional is PBE.

Properties
* electronic total energy: -3.01 eV/atom
* crystal system: cubic
* calculated volume: 22.7 Å³/atom
* total magnetization: 0.0 μB/cell
* formation enthalpy at 0 K: 0.753 eV per atom
* E above lowest polymorph: 530.9 meV/atom

Unit cell a=7.1398 b=7.1398 c=7.1398 alpha=90.00 beta=90.00 gamma=90.00
With the nearest neighbours (Å) after each atom.
Space group Fm-3m (No. 225)
Symmetry-distinct sites (fractional):
K: 0.0000 0.0000 0.0000 [4 per cell]  8 In 3.09
In: 0.2500 0.2500 0.2500 [8 per cell]  4 Fe 3.09, 4 K 3.09
Fe: 0.0000 0.0000 0.5000 [4 per cell]  8 In 3.09